# LaZnCd4

An optimized crystal structure of LaZnCd4 (PBE, Alexandria).

Summary:
**ΔH_f (0 K)**: -22.2 kJ per mole of atoms
**Size of the total moment**: 0.00 μB/cell
**Calculated volume**: 23.7 A^3/atom

Cell: 7.9173 4.5739 7.8517 Å, 90.00 90.00 90.00°
Atoms (fractional coordinates):
La: 0.2500 0.0000 0.1241
La: 0.7500 0.0000 0.8759
Zn: 0.2500 0.0000 0.7331
Zn: 0.7500 0.0000 0.2669
Cd: 0.0000 0.0000 0.5000
Cd: 0.0586 0.5000 0.8160
Cd: 0.2500 0.5000 0.4330
Cd: 0.4414 0.5000 0.8160
Cd: 0.5000 0.0000 0.5000
Cd: 0.5586 0.5000 0.1840
Cd: 0.7500 0.5000 0.5670
Cd: 0.9414 0.5000 0.1840